# 1
The following is a DFT calculation (PBE) of an optimized crystal structure of CaTi2Cd2.

Properties
The calculation puts the energy above the most stable polymorph in this dataset at 0 meV/atom. The crystal system is tetragonal. Its formation energy is 0.0828 eV per atom.

Cell and atoms, written as extended XYZ:
```
10
Lattice="8.463 0.000 0.000 0.000 8.463 0.000 0.000 0.000 3.081" Properties=species:S:1:pos:R:3 pbc="T T T"
Ti 3.332 7.564 0.000
Ti 0.899 3.332 0.000
Ti 7.564 5.131 0.000
Cd 2.662 1.570 1.541
Cd 5.802 6.893 1.541
Cd 1.570 5.802 1.541
Ca 0.000 0.000 0.000
Ca 4.232 4.232 0.000
Ti 5.131 0.899 0.000
Cd 6.893 2.662 1.541
```

=====

# 2
The following is a DFT calculation (PBE) of an optimized crystal structure of Ca3TiCd.

Properties
The calculation puts the energy above the most stable polymorph in this dataset at 9 meV/atom. The crystal system is cubic. Its formation energy is 0.7112 eV per atom.

Cell and atoms, written as extended XYZ:
```
5
Lattice="-0.973 5.197 2.382 -3.437 1.399 -4.457 -4.568 -2.159 2.846" Properties=species:S:1:pos:R:3 pbc="T T T"
Cd 0.000 0.000 0.000
Ca -0.486 2.599 1.191
Ti -4.489 2.218 0.385
Ca -1.719 0.699 -2.228
Ca -2.284 -1.080 1.423
```

=====

# 3
The following is a DFT calculation (PBE) of an optimized crystal structure of Ca2TiCd2.

Properties
The crystal system is tetragonal. Its formation energy is 0.0508 eV per atom.

Cell and atoms, written as extended XYZ:
```
10
Lattice="-3.746 5.425 -3.807 -4.592 -5.278 -3.003 -3.031 0.519 3.722" Properties=species:S:1:pos:R:3 pbc="T T T"
Ca -7.833 -0.441 -3.185
Cd -3.006 2.732 -2.829
Ca -6.105 3.020 -2.260
Cd -5.332 -2.586 -3.981
Ti -4.169 0.073 -3.405
Ca -3.536 1.106 0.098
Ti 0.000 0.000 0.000
Cd -2.181 -1.185 -1.611
Ca -5.265 -2.354 -0.827
Cd -6.157 1.332 -5.199
```